(1)
DFT (PBE) results for crystalline BaScGa3 at its relaxed geometry.

The space group is Pm-3m (No. 221) and the conventional cell measures 5.6714, 5.6714 and 5.6714 Å, with angles of 90.00, 90.00 and 90.00 degrees. Symmetry generates all atoms from Ba at (0.0000, 0.0000, 0.0000), Sc at (0.5000, 0.5000, 0.5000) and Ga at (0.0000, 0.0000, 0.5000).

The magnetization comes out at 0.271 μB/atom. The value obtained for the formation energy is 1.055 eV per atom.

---

(2)
DFT (PBE) results for crystalline ScPPd at its relaxed geometry.

The space group is I4mm (No. 107) and the conventional cell measures 3.6276, 3.6276 and 7.7740 Å, with angles of 90.00, 90.00 and 90.00 degrees. Symmetry generates all atoms from Sc at (0.0000, 0.0000, 0.0000), P at (0.0000, 0.0000, 0.6610) and Pd at (0.0000, 0.0000, 0.3445).

The magnetization comes out at 0.000 μB/atom. The value obtained for the formation energy is -0.779 eV per atom.

---

- What is the magnetization in the second record?
  0.000 μB/atom

---

Repeat the first record exactly.
DFT (PBE) results for crystalline BaScGa3 at its relaxed geometry.

The space group is Pm-3m (No. 221) and the conventional cell measures 5.6714, 5.6714 and 5.6714 Å, with angles of 90.00, 90.00 and 90.00 degrees. Symmetry generates all atoms from Ba at (0.0000, 0.0000, 0.0000), Sc at (0.5000, 0.5000, 0.5000) and Ga at (0.0000, 0.0000, 0.5000).

The magnetization comes out at 0.271 μB/atom. The value obtained for the formation energy is 1.055 eV per atom.

---

Please write out number 2 again, unchanged.
DFT (PBE) results for crystalline ScPPd at its relaxed geometry.

The space group is I4mm (No. 107) and the conventional cell measures 3.6276, 3.6276 and 7.7740 Å, with angles of 90.00, 90.00 and 90.00 degrees. Symmetry generates all atoms from Sc at (0.0000, 0.0000, 0.0000), P at (0.0000, 0.0000, 0.6610) and Pd at (0.0000, 0.0000, 0.3445).

The magnetization comes out at 0.000 μB/atom. The value obtained for the formation energy is -0.779 eV per atom.

---

- Among the records above, which one has the lowest magnetization?
  ScPPd